(1)
# CdRuRh2, relaxed, DFT PBE-GGA
# Energy relative to the elements, kJ/mol of formula units: 127
# VASP energy, eV per atom: -5.8932
data_CdRuRh2
_chemical_formula_sum 'Cd2 Ru2 Rh4'
_cell_length_a 2.815
_cell_length_b 4.747
_cell_length_c 9.400
_cell_angle_alpha 90.00
_cell_angle_beta 90.00
_cell_angle_gamma 90.00
_symmetry_space_group_name_H-M 'C m m 2'
_symmetry_Int_Tables_number 35
loop_
_symmetry_equiv_pos_as_xyz
'x,y,z'
'-x,-y,z'
'-x,y,z'
'x,-y,z'
'x+1/2,y+1/2,z'
'-x+1/2,-y+1/2,z'
'-x+1/2,y+1/2,z'
'x+1/2,-y+1/2,z'
loop_
_atom_site_label
_atom_site_type_symbol
_atom_site_fract_x
_atom_site_fract_y
_atom_site_fract_z
Cd1 Cd 0.000 0.000 0.000
Ru1 Ru 0.000 0.500 0.265
Rh1 Rh 0.000 0.000 0.500
Rh2 Rh 0.000 0.500 0.743

=====

(2)
# KLa2Ag, relaxed, DFT PBE-GGA
# Energy relative to the elements, kJ/mol of formula units: 104
# VASP energy, eV per atom: -3.1808
data_KLa2Ag
_chemical_formula_sum 'K1 La2 Ag1'
_cell_length_a 3.834
_cell_length_b 5.814
_cell_length_c 6.101
_cell_angle_alpha 90.00
_cell_angle_beta 90.00
_cell_angle_gamma 90.00
_symmetry_space_group_name_H-M 'P m m m'
_symmetry_Int_Tables_number 47
loop_
_symmetry_equiv_pos_as_xyz
'x,y,z'
'-x,-y,-z'
'-x,-y,z'
'x,y,-z'
'x,-y,-z'
'-x,y,z'
'-x,y,-z'
'x,-y,z'
loop_
_atom_site_label
_atom_site_type_symbol
_atom_site_fract_x
_atom_site_fract_y
_atom_site_fract_z
K1 K 0.000 0.000 0.000
La1 La 0.000 0.500 0.500
La2 La 0.500 0.000 0.500
Ag1 Ag 0.500 0.500 0.000

=====

(3)
# Zr2GaBi2, relaxed, DFT PBE-GGA
# Energy relative to the elements, kJ/mol of formula units: -124
# VASP energy, eV per atom: -5.8333
data_Zr2GaBi2
_chemical_formula_sum 'Zr4 Ga2 Bi4'
_cell_length_a 7.724
_cell_length_b 7.724
_cell_length_c 4.138
_cell_angle_alpha 90.00
_cell_angle_beta 90.00
_cell_angle_gamma 90.00
_symmetry_space_group_name_H-M 'P 4/m b m'
_symmetry_Int_Tables_number 127
_symmetry_space_group_name_Hall '-P 4 2ab'
loop_
_atom_site_label
_atom_site_type_symbol
_atom_site_fract_x
_atom_site_fract_y
_atom_site_fract_z
Zr1 Zr 0.152 0.348 0.000
Ga1 Ga 0.000 0.000 0.000
Bi1 Bi 0.153 0.653 0.500

=====

(4)
# CaTa, relaxed, DFT PBE-GGA
# Energy relative to the elements, kJ/mol of formula units: 135
# VASP energy, eV per atom: -6.2292
data_CaTa
_chemical_formula_sum 'Ca6 Ta6'
_cell_length_a 4.6623
_cell_length_b 4.6623
_cell_length_c 17.0453
_cell_angle_alpha 90.00
_cell_angle_beta 90.00
_cell_angle_gamma 120.00
_symmetry_space_group_name_H-M 'R -3 m'
_symmetry_Int_Tables_number 166
_symmetry_space_group_name_Hall '-R 3 2"'
loop_
_atom_site_label
_atom_site_type_symbol
_atom_site_fract_x
_atom_site_fract_y
_atom_site_fract_z
Ca1 Ca 0.0000 0.0000 0.1079
Ta1 Ta 0.0000 0.0000 0.3357

=====

(5)
# CaGdCdPt, relaxed, DFT PBE-GGA
# Energy relative to the elements, kJ/mol of formula units: -251
# VASP energy, eV per atom: -6.4096
data_CaGdCdPt
_chemical_formula_sum 'Ca4 Gd4 Cd4 Pt4'
_cell_length_a 7.255
_cell_length_b 7.255
_cell_length_c 7.255
_cell_angle_alpha 90.00
_cell_angle_beta 90.00
_cell_angle_gamma 90.00
_symmetry_space_group_name_H-M 'F -4 3 m'
_symmetry_Int_Tables_number 216
_symmetry_space_group_name_Hall 'F -4 2 3'
loop_
_atom_site_label
_atom_site_type_symbol
_atom_site_fract_x
_atom_site_fract_y
_atom_site_fract_z
Ca1 Ca 0.000 0.000 0.000
Gd1 Gd 0.000 0.000 0.500
Cd1 Cd 0.250 0.250 0.250
Pt1 Pt 0.250 0.250 0.750

=====

(6)
# Y3CrCd, relaxed, DFT PBE-GGA
# Energy relative to the elements, kJ/mol of formula units: 175
# VASP energy, eV per atom: -5.6241
data_Y3CrCd
_chemical_formula_sum 'Y3 Cr1 Cd1'
_cell_length_a 5.214
_cell_length_b 5.214
_cell_length_c 5.214
_cell_angle_alpha 90.00
_cell_angle_beta 90.00
_cell_angle_gamma 90.00
_symmetry_space_group_name_H-M 'P m -3 m'
_symmetry_Int_Tables_number 221
_symmetry_space_group_name_Hall '-P 4 2 3'
loop_
_atom_site_label
_atom_site_type_symbol
_atom_site_fract_x
_atom_site_fract_y
_atom_site_fract_z
Y1 Y 0.000 0.000 0.500
Cr1 Cr 0.000 0.000 0.000
Cd1 Cd 0.500 0.500 0.500

=====

(7)
# LiDyPuCo, relaxed, DFT PBE-GGA
# Energy relative to the elements, kJ/mol of formula units: 37
# VASP energy, eV per atom: -6.8934
data_LiDyPuCo
_chemical_formula_sum 'Li4 Dy4 Pu4 Co4'
_cell_length_a 6.836
_cell_length_b 6.836
_cell_length_c 6.836
_cell_angle_alpha 90.00
_cell_angle_beta 90.00
_cell_angle_gamma 90.00
_symmetry_space_group_name_H-M 'F -4 3 m'
_symmetry_Int_Tables_number 216
_symmetry_space_group_name_Hall 'F -4 2 3'
loop_
_atom_site_label
_atom_site_type_symbol
_atom_site_fract_x
_atom_site_fract_y
_atom_site_fract_z
Li1 Li 0.000 0.000 0.000
Dy1 Dy 0.250 0.250 0.750
Pu1 Pu 0.250 0.250 0.250
Co1 Co 0.000 0.000 0.500

=====

(8)
# CeNdRuPt, relaxed, DFT PBE-GGA
# Energy relative to the elements, kJ/mol of formula units: -272
# VASP energy, eV per atom: -7.2094
data_CeNdRuPt
_chemical_formula_sum 'Ce2 Nd2 Ru2 Pt2'
_cell_length_a 4.074
_cell_length_b 3.901
_cell_length_c 11.552
_cell_angle_alpha 90.00
_cell_angle_beta 90.00
_cell_angle_gamma 90.00
_symmetry_space_group_name_H-M 'A m m 2'
_symmetry_Int_Tables_number 38
loop_
_symmetry_equiv_pos_as_xyz
'x,y,z'
'-x,-y,z'
'-x,y,z'
'x,-y,z'
'x,y+1/2,z+1/2'
'-x,-y+1/2,z+1/2'
'-x,y+1/2,z+1/2'
'x,-y+1/2,z+1/2'
loop_
_atom_site_label
_atom_site_type_symbol
_atom_site_fract_x
_atom_site_fract_y
_atom_site_fract_z
Ce1 Ce 0.000 0.000 0.000
Nd1 Nd 0.500 0.000 0.279
Ru1 Ru 0.500 0.000 0.535
Pt1 Pt 0.000 0.000 0.715

=====

(9)
# Ce2NdF11, relaxed, DFT PBE-GGA
# VASP energy, eV per atom: -6.4928
# Energy relative to the elements, uncorrected, eV per atom: -3.83
data_Ce2NdF11
_chemical_formula_sum 'Ce8 Nd4 F44'
_cell_length_a 8.422
_cell_length_b 10.539
_cell_length_c 11.281
_cell_angle_alpha 90.00
_cell_angle_beta 90.00
_cell_angle_gamma 90.00
_symmetry_space_group_name_H-M 'I b a m'
_symmetry_Int_Tables_number 72
_symmetry_space_group_name_Hall '-I 2 2c'
loop_
_atom_site_label
_atom_site_type_symbol
_atom_site_fract_x
_atom_site_fract_y
_atom_site_fract_z
Ce1 Ce 0.146 0.182 0.000
Nd1 Nd 0.000 0.500 0.250
F1 F 0.000 0.000 0.000
F2 F 0.096 0.323 0.140
F3 F 0.127 0.215 0.500
F4 F 0.221 0.426 0.365

=====

(10)
# Pm2Al3Os, relaxed, DFT PBE-GGA
# Energy relative to the elements, kJ/mol of formula units: -303
# VASP energy, eV per atom: -5.8499
data_Pm2Al3Os
_chemical_formula_sum 'Pm4 Al6 Os2'
_cell_length_a 5.6216
_cell_length_b 5.6216
_cell_length_c 8.8442
_cell_angle_alpha 90.00
_cell_angle_beta 90.00
_cell_angle_gamma 120.00
_symmetry_space_group_name_H-M 'P 63/m m c'
_symmetry_Int_Tables_number 194
_symmetry_space_group_name_Hall '-P 6c 2c'
loop_
_atom_site_label
_atom_site_type_symbol
_atom_site_fract_x
_atom_site_fract_y
_atom_site_fract_z
Pm1 Pm 0.3333 0.6667 0.0508
Al1 Al 0.1595 0.3189 0.7500
Os1 Os 0.0000 0.0000 0.0000

=====

(11)
# Mg2NpTl3O6, relaxed, DFT PBE-GGA
# VASP energy, eV per atom: -6.3483
# Energy relative to the elements, uncorrected, eV per atom: -1.93
data_Mg2NpTl3O6
_chemical_formula_sum 'Mg4 Np2 Tl6 O12'
_cell_length_a 5.598
_cell_length_b 9.696
_cell_length_c 7.202
_cell_angle_alpha 90.00
_cell_angle_beta 105.01
_cell_angle_gamma 90.00
_symmetry_space_group_name_H-M 'C 1 2/m 1'
_symmetry_Int_Tables_number 12
loop_
_symmetry_equiv_pos_as_xyz
'x,y,z'
'-x,-y,-z'
'-x,y,-z'
'x,-y,z'
'x+1/2,y+1/2,z'
'-x+1/2,-y+1/2,-z'
'-x+1/2,y+1/2,-z'
'x+1/2,-y+1/2,z'
loop_
_atom_site_label
_atom_site_type_symbol
_atom_site_fract_x
_atom_site_fract_y
_atom_site_fract_z
Mg1 Mg 0.000 0.167 0.000
Np1 Np 0.000 0.500 0.000
Tl1 Tl 0.000 0.000 0.500
Tl2 Tl 0.000 0.333 0.500
O1 O 0.212 0.338 0.151
O2 O 0.227 0.000 0.151

=====

(12)
# Pm2Sm5Er12, relaxed, DFT PBE-GGA
# Energy relative to the elements, kJ/mol of formula units: 37
# VASP energy, eV per atom: -4.6035
data_Pm2Sm5Er12
_chemical_formula_sum 'Pm2 Sm5 Er12'
_cell_length_a 6.151
_cell_length_b 9.414
_cell_length_c 10.648
_cell_angle_alpha 101.04
_cell_angle_beta 95.56
_cell_angle_gamma 90.08
_symmetry_space_group_name_H-M 'P -1'
_symmetry_Int_Tables_number 2
loop_
_symmetry_equiv_pos_as_xyz
'x,y,z'
'-x,-y,-z'
loop_
_atom_site_label
_atom_site_type_symbol
_atom_site_fract_x
_atom_site_fract_y
_atom_site_fract_z
Pm1 Pm 0.080 0.317 0.474
Sm1 Sm 0.238 0.947 0.421
Sm2 Sm 0.342 0.368 0.052
Sm3 Sm 0.500 0.000 0.000
Er1 Er 0.026 0.105 0.157
Er2 Er 0.131 0.526 0.790
Er3 Er 0.184 0.737 0.105
Er4 Er 0.289 0.158 0.738
Er5 Er 0.396 0.579 0.368
Er6 Er 0.446 0.789 0.685